*one*
Compound: BaHgP2Cl
Source: the Alexandria database
Functional: PBE
Structure: relaxed

abc: 6.614 6.614 5.933
angles: 90.00 90.00 90.00
Space group P4/mmm (No. 123)
Unique sites:
Ba: 0.000 0.000 0.000
Hg: 0.500 0.500 0.500
P: 0.000 0.500 0.000
Cl: 0.000 0.000 0.500

Results
DOS(E_F)   0.506 states/eV/cell



*two*
Compound: BaHgP2Cl
Source: the Alexandria database
Functional: PBE
Structure: relaxed

abc: 4.944 4.944 6.009
angles: 90.00 90.00 90.00
Space group P4/mmm (No. 123)
Unique sites:
Ba: 0.000 0.000 0.000
Hg: 0.500 0.500 0.500
P: 0.000 0.500 0.500
Cl: 0.500 0.500 0.000

Results
DOS(E_F)   5.069 states/eV/cell



Computed energies relative to the best structure, in meV per atom: *one* 514; *two* 0



*one*
Compound: BaI2Cl
Source: the Alexandria database
Functional: PBE
Structure: relaxed

abc: 8.416 8.416 8.416
angles: 90.00 90.00 90.00
Space group Fm-3m (No. 225)
Unique sites:
Ba: 0.000 0.000 0.000
I: 0.250 0.250 0.250
Cl: 0.000 0.000 0.500

Results
DOS(E_F)   36.056 states/eV/cell



*two*
Compound: BaI2Cl
Source: the Alexandria database
Functional: PBE
Structure: relaxed

abc: 4.888 4.888 26.024
angles: 90.00 90.00 90.00
Space group I-42d (No. 122)
Unique sites:
Ba: 0.000 0.000 0.000
I: 0.246 0.250 0.125
Cl: 0.000 0.000 0.500

Results
DOS(E_F)   9.955 states/eV/cell



Computed energies relative to the best structure, in meV per atom: *one* 120; *two* 0



*one*
Compound: BaI3Cl
Source: the Alexandria database
Functional: PBE
Structure: relaxed

abc: 6.829 6.829 6.829
angles: 90.00 90.00 90.00
Space group Pm-3m (No. 221)
Unique sites:
Ba: 0.000 0.000 0.000
I: 0.000 0.000 0.500
Cl: 0.500 0.500 0.500

Results
DOS(E_F)   24.446 states/eV/cell



*two*
Compound: BaI3Cl
Source: the Alexandria database
Functional: PBE
Structure: relaxed

abc: 5.919 5.919 5.919
angles: 90.00 90.00 90.00
Space group Pm-3m (No. 221)
Unique sites:
Ba: 0.000 0.000 0.000
I: 0.000 0.500 0.500
Cl: 0.500 0.500 0.500

Results
DOS(E_F)   2.044 states/eV/cell



Computed energies relative to the best structure, in meV per atom: *one* 96; *two* 0



*one*
Compound: BaSICl2
Source: the Alexandria database
Functional: PBE
Structure: relaxed

abc: 5.955 5.955 6.609
angles: 90.00 90.00 90.00
Space group P4/mmm (No. 123)
Unique sites:
Ba: 0.000 0.000 0.000
S: 0.000 0.000 0.500
I: 0.500 0.500 0.500
Cl: 0.000 0.500 0.000

Results
DOS(E_F)   5.611 states/eV/cell



*two*
Compound: BaSICl2
Source: the Alexandria database
Functional: PBE
Structure: relaxed

abc: 5.788 5.788 5.186
angles: 90.00 90.00 90.00
Space group P4/mmm (No. 123)
Unique sites:
Ba: 0.000 0.000 0.000
S: 0.500 0.500 0.000
I: 0.500 0.500 0.500
Cl: 0.000 0.500 0.500

Results
DOS(E_F)   1.917 states/eV/cell



Computed energies relative to the best structure, in meV per atom: *one* 94; *two* 0



*one*
Compound: BaS2ICl
Source: the Alexandria database
Functional: PBE
Structure: relaxed

abc: 5.188 5.188 5.758
angles: 90.00 90.00 90.00
Space group P4/mmm (No. 123)
Unique sites:
Ba: 0.000 0.000 0.000
S: 0.000 0.500 0.500
I: 0.500 0.500 0.500
Cl: 0.500 0.500 0.000

Results
DOS(E_F)   1.121 states/eV/cell



*two*
Compound: BaS2ICl
Source: the Alexandria database
Functional: PBE
Structure: relaxed

abc: 6.436 6.436 5.813
angles: 90.00 90.00 90.00
Space group P4/mmm (No. 123)
Unique sites:
Ba: 0.000 0.000 0.000
S: 0.000 0.500 0.000
I: 0.500 0.500 0.500
Cl: 0.000 0.000 0.500

Results
DOS(E_F)   3.556 states/eV/cell



Computed energies relative to the best structure, in meV per atom: *one* 0; *two* 464



*one*
Compound: BaInCl
Source: the Alexandria database
Functional: PBE
Structure: relaxed

abc: 7.901 7.901 7.901
angles: 90.00 90.00 90.00
Space group F-43m (No. 216)
Unique sites:
Ba: 0.000 0.000 0.000
In: 0.250 0.250 0.750
Cl: 0.000 0.000 0.500

Results
DOS(E_F)   14.561 states/eV/cell



*two*
Compound: BaInCl
Source: the Alexandria database
Functional: PBE
Structure: relaxed

abc: 5.2516 5.2516 5.1734
angles: 90.00 90.00 120.00
Space group P3m1 (No. 156)
Unique sites:
Ba: 0.0000 0.0000 0.0000
In: 0.3333 0.6667 0.4989
Cl: 0.6667 0.3333 0.0176

Results
DOS(E_F)   3.557 states/eV/cell



Computed energies relative to the best structure, in meV per atom: *one* 402; *two* 0



*one*
Compound: BaInCl
Source: the Alexandria database
Functional: PBE
Structure: relaxed

abc: 4.245 4.245 13.167
angles: 90.00 90.00 90.00
Space group I4mm (No. 107)
Unique sites:
Ba: 0.000 0.000 0.000
In: 0.000 0.000 0.672
Cl: 0.000 0.000 0.424

Results
DOS(E_F)   3.697 states/eV/cell



*two*
Compound: BaInCl
Source: the Alexandria database
Functional: PBE
Structure: relaxed

abc: 7.598 7.598 7.598
angles: 90.00 90.00 90.00
Space group F-43m (No. 216)
Unique sites:
Ba: 0.000 0.000 0.000
In: 0.000 0.000 0.500
Cl: 0.250 0.250 0.750

Results
DOS(E_F)   5.671 states/eV/cell



*three*
Compound: BaInCl
Source: the Alexandria database
Functional: PBE
Structure: relaxed

abc: 8.010 8.010 8.010
angles: 90.00 90.00 90.00
Space group F-43m (No. 216)
Unique sites:
Ba: 0.000 0.000 0.000
In: 0.250 0.250 0.750
Cl: 0.250 0.250 0.250

Results
DOS(E_F)   16.720 states/eV/cell



Computed energies relative to the best structure, in meV per atom: *one* 0; *two* 112; *three* 357



*one*
Compound: BaIn3Cl
Source: the Alexandria database
Functional: PBE
Structure: relaxed

abc: 6.648 6.648 6.648
angles: 90.00 90.00 90.00
Space group Pm-3m (No. 221)
Unique sites:
Ba: 0.000 0.000 0.000
In: 0.000 0.000 0.500
Cl: 0.500 0.500 0.500

Results
DOS(E_F)   8.106 states/eV/cell



*two*
Compound: BaIn3Cl
Source: the Alexandria database
Functional: PBE
Structure: relaxed

abc: 5.696 5.696 5.696
angles: 90.00 90.00 90.00
Space group Pm-3m (No. 221)
Unique sites:
Ba: 0.000 0.000 0.000
In: 0.000 0.500 0.500
Cl: 0.500 0.500 0.500

Results
DOS(E_F)   3.893 states/eV/cell



Computed energies relative to the best structure, in meV per atom: *one* 767; *two* 0



*one*
Compound: BaInCl2
Source: the Alexandria database
Functional: PBE
Structure: relaxed

abc: 4.490 4.490 6.360
angles: 90.00 90.00 90.00
Space group P4mm (No. 99)
Unique sites:
Ba: 0.000 0.000 0.000
In: 0.500 0.500 0.629
Cl: 0.000 0.000 0.482
Cl: 0.500 0.500 0.149

Results
DOS(E_F)   2.639 states/eV/cell



*two*
Compound: BaInCl2
Source: the Alexandria database
Functional: PBE
Structure: relaxed

abc: 7.644 8.821 5.720
angles: 90.00 129.34 90.00
Space group C2/m (No. 12)
Unique sites:
Ba: 0.000 0.000 0.000
In: 0.000 0.500 0.000
Cl: 0.250 0.250 0.500

Results
DOS(E_F)   1.958 states/eV/cell



Computed energies relative to the best structure, in meV per atom: *one* 32; *two* 0



*one*
Compound: BaInCl2
Source: the Alexandria database
Functional: PBE
Structure: relaxed

abc: 4.453 4.551 6.150
angles: 90.00 90.00 90.00
Space group Pmmm (No. 47)
Unique sites:
Ba: 0.000 0.000 0.000
In: 0.500 0.000 0.500
Cl: 0.000 0.500 0.500
Cl: 0.500 0.500 0.000

Results
DOS(E_F)   1.688 states/eV/cell



*two*
Compound: BaInCl2
Source: the Alexandria database
Functional: PBE
Structure: relaxed

abc: 4.6825 4.6825 28.8747
angles: 90.00 90.00 120.00
Space group R-3m (No. 166, hexagonal axes)
Unique sites:
Ba: 0.0000 0.0000 0.0000
In: 0.0000 0.0000 0.5000
Cl: 0.0000 0.0000 0.3835

Results
DOS(E_F)   3.448 states/eV/cell



*three*
Compound: BaInCl2
Source: the Alexandria database
Functional: PBE
Structure: relaxed

abc: 3.865 3.793 9.687
angles: 90.00 90.34 90.00
Space group P2/m (No. 10)
Unique sites:
Ba: 0.000 0.000 0.000
In: 0.500 0.000 0.500
Cl: 0.497 0.500 0.825

Results
DOS(E_F)   1.470 states/eV/cell



*four*
Compound: BaInCl2
Source: the Alexandria database
Functional: PBE
Structure: relaxed

abc: 4.182 4.681 13.934
angles: 90.00 90.00 90.00
Space group Imm2 (No. 44)
Unique sites:
Ba: 0.000 0.000 0.000
In: 0.000 0.500 0.770
Cl: 0.000 0.000 0.547
Cl: 0.000 0.500 0.332

Results
DOS(E_F)   3.332 states/eV/cell



Computed energies relative to the best structure, in meV per atom: *one* 117; *two* 0; *three* 20; *four* 81



*one*
Compound: BaInCl2
Source: the Alexandria database
Functional: PBE
Structure: relaxed

abc: 4.7424 4.7424 28.0868
angles: 90.00 90.00 120.00
Space group R-3m (No. 166, hexagonal axes)
Unique sites:
Ba: 0.0000 0.0000 0.0000
In: 0.0000 0.0000 0.5000
Cl: 0.0000 0.0000 0.1047

Results
DOS(E_F)   3.214 states/eV/cell



*two*
Compound: BaInCl2
Source: the Alexandria database
Functional: PBE
Structure: relaxed

abc: 7.919 7.919 7.919
angles: 90.00 90.00 90.00
Space group F-43m (No. 216)
Unique sites:
Ba: 0.000 0.000 0.000
In: 0.250 0.250 0.250
Cl: 0.000 0.000 0.500
Cl: 0.250 0.250 0.750

Results
DOS(E_F)   14.066 states/eV/cell



Computed energies relative to the best structure, in meV per atom: *one* 0; *two* 123



*one*
Compound: BaInCl4
Source: the Alexandria database
Functional: PBE
Structure: relaxed

abc: 7.394 7.394 7.262
angles: 90.00 90.00 90.00
Space group I-4 (No. 82)
Unique sites:
Ba: 0.000 0.000 0.000
In: 0.000 0.500 0.750
Cl: 0.214 0.775 0.660

Results
DOS(E_F)   8.119 states/eV/cell



*two*
Compound: BaInCl4
Source: the Alexandria database
Functional: PBE
Structure: relaxed

abc: 8.802 8.802 8.802
angles: 90.00 90.00 90.00
Space group F-43m (No. 216)
Unique sites:
Ba: 0.000 0.000 0.000
In: 0.250 0.250 0.250
Cl: 0.125 0.125 0.625

Results
DOS(E_F)   19.008 states/eV/cell



Computed energies relative to the best structure, in meV per atom: *one* 0; *two* 713